i.
Below is a geometry-optimized LaY3Bi structure, with properties calculated at the GGA-PBE level.

## Properties
Total moment   0.0 μB/f.u.

Unit cell a=5.616 b=5.616 c=5.616 alpha=90.00 beta=90.00 gamma=90.00
Fractional coordinates of all 5 atoms:
La 0.000 0.000 0.000
Y 0.000 0.000 0.500
Y 0.000 0.500 0.000
Y 0.500 0.000 0.000
Bi 0.500 0.500 0.500

---

ii.
Below is a geometry-optimized LaY3Bi structure, with properties calculated at the GGA-PBE level.

## Properties
Total moment   2.9 μB/f.u.

Unit cell a=5.862 b=5.862 c=5.862 alpha=90.00 beta=90.00 gamma=90.00
Fractional coordinates of all 5 atoms:
La 0.000 0.000 0.000
Y 0.000 0.500 0.500
Y 0.500 0.000 0.500
Y 0.500 0.500 0.000
Bi 0.500 0.500 0.500

---

Short version: ii is the most stable of them.

---

i.
Below is a geometry-optimized La2Zn2Bi structure, with properties calculated at the GGA-PBE level.

## Properties
Total moment   0.0 μB/f.u.

Unit cell a=5.859 b=5.859 c=5.859 alpha=118.06 beta=118.06 gamma=93.40
Fractional coordinates of all 5 atoms:
La 0.250 0.750 0.500
La 0.750 0.250 0.500
Zn 0.144 0.144 0.000
Zn 0.856 0.856 0.000
Bi 0.500 0.500 0.000

---

ii.
Below is a geometry-optimized La2Zn2Bi structure, with properties calculated at the GGA-PBE level.

## Properties
Total moment   0.0 μB/f.u.

Unit cell a=7.701 b=7.701 c=4.602 alpha=90.00 beta=90.00 gamma=90.00
Fractional coordinates of all 10 atoms:
La 0.173 0.327 0.000
La 0.327 0.827 0.000
La 0.673 0.173 0.000
La 0.827 0.673 0.000
Zn 0.118 0.618 0.500
Zn 0.382 0.118 0.500
Zn 0.618 0.882 0.500
Zn 0.882 0.382 0.500
Bi 0.000 0.000 0.500
Bi 0.500 0.500 0.500

---

iii.
Below is a geometry-optimized La2Zn2Bi structure, with properties calculated at the GGA-PBE level.

## Properties
Total moment   0.0 μB/f.u.

Unit cell a=8.941 b=8.941 c=3.685 alpha=90.00 beta=90.00 gamma=90.00
Fractional coordinates of all 10 atoms:
La 0.184 0.316 0.000
La 0.316 0.816 0.000
La 0.684 0.184 0.000
La 0.816 0.684 0.000
Zn 0.107 0.607 0.500
Zn 0.393 0.107 0.500
Zn 0.607 0.893 0.500
Zn 0.893 0.393 0.500
Bi 0.000 0.000 0.000
Bi 0.500 0.500 0.000

---

Short version: ii is the most stable of them.

---

i.
Below is a geometry-optimized La3ZrBi structure, with properties calculated at the GGA-PBE level.

## Properties
Total moment   0.0 μB/f.u.

Unit cell a=5.640 b=5.640 c=5.640 alpha=90.00 beta=90.00 gamma=90.00
Fractional coordinates of all 5 atoms:
La 0.000 0.000 0.500
La 0.000 0.500 0.000
La 0.500 0.000 0.000
Zr 0.000 0.000 0.000
Bi 0.500 0.500 0.500

---

ii.
Below is a geometry-optimized La3ZrBi structure, with properties calculated at the GGA-PBE level.

## Properties
Total moment   0.0 μB/f.u.

Unit cell a=6.049 b=6.049 c=6.049 alpha=90.00 beta=90.00 gamma=90.00
Fractional coordinates of all 5 atoms:
La 0.000 0.000 0.500
La 0.000 0.500 0.000
La 0.500 0.000 0.000
Zr 0.500 0.500 0.500
Bi 0.000 0.000 0.000

---

Short version: i is the most stable of them.

---

i.
Below is a geometry-optimized Li4Bi3 structure, with properties calculated at the GGA-PBE level.

## Properties
Total moment   0.0 μB/f.u.

Unit cell a=8.410 b=8.410 c=8.410 alpha=34.95 beta=34.95 gamma=34.95
Fractional coordinates of all 7 atoms:
Li 0.118 0.118 0.118
Li 0.370 0.370 0.370
Li 0.630 0.630 0.630
Li 0.882 0.882 0.882
Bi 0.247 0.247 0.247
Bi 0.500 0.500 0.500
Bi 0.753 0.753 0.753

---

ii.
Below is a geometry-optimized Li4Bi3 structure, with properties calculated at the GGA-PBE level.

## Properties
Total moment   0.0 μB/f.u.

Unit cell a=7.985 b=7.985 c=7.985 alpha=113.67 beta=113.67 gamma=113.67
Fractional coordinates of all 14 atoms:
Li 0.000 0.000 0.000
Li 0.070 0.616 0.764
Li 0.236 0.930 0.384
Li 0.384 0.236 0.930
Li 0.500 0.500 0.500
Li 0.616 0.764 0.070
Li 0.764 0.070 0.616
Li 0.930 0.384 0.236
Bi 0.137 0.263 0.542
Bi 0.263 0.542 0.137
Bi 0.458 0.863 0.737
Bi 0.542 0.137 0.263
Bi 0.737 0.458 0.863
Bi 0.863 0.737 0.458

---

Short version: ii is the most stable of them.

---

i.
Below is a geometry-optimized LiBi3 structure, with properties calculated at the GGA-PBE level.

## Properties
Total moment   0.0 μB/f.u.

Unit cell a=6.640 b=6.640 c=6.640 alpha=148.23 beta=61.12 gamma=129.26
Fractional coordinates of all 4 atoms:
Li 0.000 0.000 0.000
Bi 0.432 0.688 0.743
Bi 0.482 0.982 0.500
Bi 0.945 0.688 0.257

---

ii.
Below is a geometry-optimized LiBi3 structure, with properties calculated at the GGA-PBE level.

## Properties
Total moment   0.0 μB/f.u.

Unit cell a=4.886 b=4.886 c=4.886 alpha=90.00 beta=90.00 gamma=90.00
Fractional coordinates of all 4 atoms:
Li 0.000 0.000 0.000
Bi 0.000 0.500 0.500
Bi 0.500 0.000 0.500
Bi 0.500 0.500 0.000

---

Short version: ii is the most stable of them.

---

i.
Below is a geometry-optimized LiBi3 structure, with properties calculated at the GGA-PBE level.

## Properties
Total moment   0.0 μB/f.u.

Unit cell a=6.076 b=6.076 c=6.076 alpha=133.17 beta=133.17 gamma=68.38
Fractional coordinates of all 4 atoms:
Li 0.000 0.000 0.000
Bi 0.250 0.750 0.500
Bi 0.500 0.500 0.000
Bi 0.750 0.250 0.500

---

ii.
Below is a geometry-optimized LiBi3 structure, with properties calculated at the GGA-PBE level.

## Properties
Total moment   0.0 μB/f.u.

Unit cell a=3.339 b=3.385 c=10.292 alpha=90.00 beta=90.00 gamma=90.00
Fractional coordinates of all 4 atoms:
Li 0.000 0.000 0.000
Bi 0.000 0.500 0.242
Bi 0.500 0.000 0.524
Bi 0.500 0.500 0.808

---

iii.
Below is a geometry-optimized LiBi3 structure, with properties calculated at the GGA-PBE level.

## Properties
Total moment   0.0 μB/f.u.

Unit cell a=5.505 b=5.505 c=5.505 alpha=60.00 beta=60.00 gamma=60.00
Fractional coordinates of all 4 atoms:
Li 0.000 0.000 0.000
Bi 0.250 0.250 0.250
Bi 0.500 0.500 0.500
Bi 0.750 0.750 0.750

---

Short version: i is the most stable of them.